1.
LaMo2C2 | PBE-GGA | optimized geometry

Geometry as extended XYZ:
```
10
Lattice="7.0064 0.0000 0.0000 0.0000 7.0064 0.0000 0.0000 0.0000 2.8943" Properties=species:S:1:pos:R:3 pbc="T T T"
La 0.0000 0.0000 0.0000
La 3.5032 3.5032 0.0000
Mo 0.8714 2.6318 0.0000
Mo 2.6318 6.1350 0.0000
Mo 4.3745 0.8714 0.0000
Mo 6.1350 4.3745 0.0000
C 0.9256 4.4288 1.4471
C 2.5776 0.9256 1.4471
C 4.4288 6.0808 1.4471
C 6.0808 2.5776 1.4471
```

Summary:
- Formation energy: 1.078 eV per atom
- Spin magnetization: 0.000 μB per atom
- Electronic total energy: -79.29 eV/cell

***

2.
Cd3IrBr | PBE-GGA | optimized geometry

Geometry as extended XYZ:
```
5
Lattice="5.2493 0.0000 0.0000 0.0000 5.2493 0.0000 0.0000 0.0000 5.2493" Properties=species:S:1:pos:R:3 pbc="T T T"
Cd 0.0000 0.0000 2.6247
Cd 0.0000 2.6247 0.0000
Cd 2.6247 0.0000 0.0000
Ir 0.0000 0.0000 0.0000
Br 2.6247 2.6247 2.6247
```

Summary:
- Uncorrected formation energy: 4.77 kcal/mol of atoms
- Spin magnetization: 0.000 μB per atom
- Electronic total energy: -12.24 eV/cell

***

3.
CrHSe2S | PBE-GGA | optimized geometry

Geometry as extended XYZ:
```
5
Lattice="5.0466 0.0000 0.0000 0.0000 5.0466 0.0000 0.0000 0.0000 3.2685" Properties=species:S:1:pos:R:3 pbc="T T T"
Cr 0.0000 0.0000 0.0000
H 2.5233 2.5233 0.0000
Se 0.0000 2.5233 1.6343
Se 2.5233 0.0000 1.6343
S 2.5233 2.5233 1.6343
```

Summary:
- Spin magnetization: 0.766 μB per atom
- Electronic total energy: -22.56 eV/cell